# 1
! La5PmTm3 (GGA-PBE, optimized geometry); values from VASP
! electronic total energy = -4.5102 eV/atom
! formation energy = 23.7 kJ per mole of atoms
&SYSTEM
  ibrav = 0, nat = 18, ntyp = 3
/
ATOMIC_SPECIES
La 138.91 La.upf
Pm 145.00 Pm.upf
Tm 168.93 Tm.upf
ATOMIC_POSITIONS crystal
La 0.0272 0.6347 0.2862
La 0.0968 0.9032 0.7500
La 0.1600 0.4998 0.6407
La 0.3653 0.9728 0.2138
La 0.4998 0.1600 0.1407
La 0.5002 0.8400 0.8593
La 0.6347 0.0272 0.7862
La 0.8400 0.5002 0.3593
La 0.9032 0.0968 0.2500
La 0.9728 0.3653 0.7138
Pm 0.3634 0.6366 0.2500
Pm 0.6366 0.3634 0.7500
Tm 0.0488 0.6324 0.9864
Tm 0.3676 0.9512 0.5136
Tm 0.5000 0.5000 0.0000
Tm 0.5000 0.5000 0.5000
Tm 0.6324 0.0488 0.4864
Tm 0.9512 0.3676 0.0136
CELL_PARAMETERS angstrom
9.4595 -3.2968 0.0000
9.4595 3.2968 0.0000
-4.9085 0.0000 10.3447

# 2
! La9Pm2Tm (GGA-PBE, optimized geometry); values from VASP
! electronic total energy = -4.8530 eV/atom
! formation energy = 0.7 kJ per mole of atoms
&SYSTEM
  ibrav = 0, nat = 12, ntyp = 3
/
ATOMIC_SPECIES
La 138.91 La.upf
Pm 145.00 Pm.upf
Tm 168.93 Tm.upf
ATOMIC_POSITIONS crystal
La 0.0000 0.0000 0.0000
La 0.0000 0.0000 0.3327
La 0.0000 0.0000 0.6673
La 0.0000 0.5000 0.1650
La 0.0000 0.5000 0.5000
La 0.0000 0.5000 0.8350
La 0.5000 0.0000 0.1650
La 0.5000 0.0000 0.5000
La 0.5000 0.0000 0.8350
Pm 0.5000 0.5000 0.3321
Pm 0.5000 0.5000 0.6679
Tm 0.5000 0.5000 0.0000
CELL_PARAMETERS angstrom
5.2182 0.0000 0.0000
0.0000 5.2182 0.0000
0.0000 0.0000 15.6732

# 3
! LaPm12Tm6 (GGA-PBE, optimized geometry); values from VASP
! E above lowest polymorph = 0.056 eV per atom
! electronic total energy = -4.4814 eV/atom
! formation energy = 18.4 kJ per mole of atoms
&SYSTEM
  ibrav = 0, nat = 19, ntyp = 3
/
ATOMIC_SPECIES
La 138.91 La.upf
Pm 145.00 Pm.upf
Tm 168.93 Tm.upf
ATOMIC_POSITIONS crystal
La 0.0000 0.0000 0.0000
Pm 0.0804 0.3537 0.3537
Pm 0.2416 0.5000 0.7584
Pm 0.2416 0.7584 0.5000
Pm 0.3537 0.0804 0.3537
Pm 0.3537 0.3537 0.0804
Pm 0.5000 0.2416 0.7584
Pm 0.5000 0.7584 0.2416
Pm 0.6463 0.6463 0.9196
Pm 0.6463 0.9196 0.6463
Pm 0.7584 0.2416 0.5000
Pm 0.7584 0.5000 0.2416
Pm 0.9196 0.6463 0.6463
Tm 0.1021 0.1021 0.6615
Tm 0.1021 0.6615 0.1021
Tm 0.3385 0.8979 0.8979
Tm 0.6615 0.1021 0.1021
Tm 0.8979 0.3385 0.8979
Tm 0.8979 0.8979 0.3385
CELL_PARAMETERS angstrom
6.7102 3.8741 4.2011
-6.7102 3.8741 4.2011
0.0000 -7.7483 4.2011

# 4
! La5Pm3Tm3 (GGA-PBE, optimized geometry); values from VASP
! electronic total energy = -4.4651 eV/atom
! formation energy = 28.0 kJ per mole of atoms
&SYSTEM
  ibrav = 0, nat = 11, ntyp = 3
/
ATOMIC_SPECIES
La 138.91 La.upf
Pm 145.00 Pm.upf
Tm 168.93 Tm.upf
ATOMIC_POSITIONS crystal
La 0.0000 0.6640 0.0000
La 0.3333 0.6667 0.0000
La 0.3360 0.3360 0.0000
La 0.6640 0.0000 0.0000
La 0.6667 0.3333 0.0000
Pm 0.0000 0.4013 0.5000
Pm 0.4013 0.0000 0.5000
Pm 0.5987 0.5987 0.5000
Tm 0.0000 0.1588 0.0000
Tm 0.1588 0.0000 0.0000
Tm 0.8412 0.8412 0.0000
CELL_PARAMETERS angstrom
11.4590 0.0000 0.0000
-5.7295 9.9238 0.0000
0.0000 0.0000 3.4824

# 5
! LaPm2Tm (GGA-PBE, optimized geometry); values from VASP
! E above lowest polymorph = 0.003 eV per atom
! electronic total energy = -4.7024 eV/atom
! formation energy = 2.2 kJ per mole of atoms
&SYSTEM
  ibrav = 0, nat = 4, ntyp = 3
/
ATOMIC_SPECIES
La 138.91 La.upf
Pm 145.00 Pm.upf
Tm 168.93 Tm.upf
ATOMIC_POSITIONS crystal
La 0.0000 0.0000 0.0000
Pm 0.2476 0.2476 0.7482
Pm 0.7524 0.7524 0.2518
Tm 0.5000 0.5000 0.5000
CELL_PARAMETERS angstrom
6.0570 -1.8222 0.0000
6.0570 1.8222 0.0000
-1.0863 0.0000 6.1455

# 6
! La7Pm2Tm (GGA-PBE, optimized geometry); values from VASP
! E above lowest polymorph = 0.000 eV per atom
! electronic total energy = -4.5296 eV/atom
! formation energy = 30.6 kJ per mole of atoms
&SYSTEM
  ibrav = 0, nat = 10, ntyp = 3
/
ATOMIC_SPECIES
La 138.91 La.upf
Pm 145.00 Pm.upf
Tm 168.93 Tm.upf
ATOMIC_POSITIONS crystal
La 0.0000 0.0000 0.0000
La 0.1193 0.3742 0.0000
La 0.1815 0.8185 0.5000
La 0.3742 0.1193 0.0000
La 0.6258 0.8807 0.0000
La 0.8185 0.1815 0.5000
La 0.8807 0.6258 0.0000
Pm 0.3333 0.6667 0.0000
Pm 0.6667 0.3333 0.0000
Tm 0.5000 0.5000 0.5000
CELL_PARAMETERS angstrom
6.0833 -8.5497 0.0000
6.0833 8.5497 0.0000
0.0000 0.0000 3.5785

# 7
! La4Pm4Tm3 (GGA-PBE, optimized geometry); values from VASP
! E above lowest polymorph = 0.050 eV per atom
! electronic total energy = -4.6269 eV/atom
! formation energy = 10.8 kJ per mole of atoms
&SYSTEM
  ibrav = 0, nat = 11, ntyp = 3
/
ATOMIC_SPECIES
La 138.91 La.upf
Pm 145.00 Pm.upf
Tm 168.93 Tm.upf
ATOMIC_POSITIONS crystal
La 0.0250 0.8565 0.1685
La 0.3120 0.1435 0.1685
La 0.6880 0.8565 0.8315
La 0.9750 0.1435 0.8315
Pm 0.2666 0.7666 0.5000
Pm 0.3125 0.0000 0.3125
Pm 0.6875 0.0000 0.6875
Pm 0.7334 0.2334 0.5000
Tm 0.0000 0.5000 0.5000
Tm 0.3970 0.3970 0.0000
Tm 0.6030 0.6030 0.0000
CELL_PARAMETERS angstrom
-1.8343 4.7892 10.9996
1.8343 -4.7892 10.9996
1.8343 4.7892 -10.9996

# 8
! LaPm6Tm2 (GGA-PBE, optimized geometry); values from VASP
! E above lowest polymorph = 0.000 eV per atom
! electronic total energy = -4.6893 eV/atom
! formation energy = 1.8 kJ per mole of atoms
&SYSTEM
  ibrav = 0, nat = 9, ntyp = 3
/
ATOMIC_SPECIES
La 138.91 La.upf
Pm 145.00 Pm.upf
Tm 168.93 Tm.upf
ATOMIC_POSITIONS crystal
La 0.0000 0.0000 0.0000
Pm 0.1132 0.4409 0.3344
Pm 0.3311 0.3328 0.0036
Pm 0.4412 0.7800 0.3362
Pm 0.5588 0.2200 0.6638
Pm 0.6689 0.6672 0.9964
Pm 0.8868 0.5591 0.6656
Tm 0.2237 0.8908 0.6621
Tm 0.7763 0.1092 0.3379
CELL_PARAMETERS angstrom
3.6326 0.0000 0.0000
1.7899 9.4130 0.0000
1.7763 3.1498 8.8784

# 9
! LaPmTm (GGA-PBE, optimized geometry); values from VASP
! E above lowest polymorph = 0.031 eV per atom
! electronic total energy = -4.6527 eV/atom
! formation energy = 6.2 kJ per mole of atoms
&SYSTEM
  ibrav = 0, nat = 6, ntyp = 3
/
ATOMIC_SPECIES
La 138.91 La.upf
Pm 145.00 Pm.upf
Tm 168.93 Tm.upf
ATOMIC_POSITIONS crystal
La 0.1615 0.1615 0.1605
La 0.8385 0.8385 0.8395
Pm 0.5002 0.5002 0.2591
Pm 0.4998 0.4998 0.7409
Tm 0.1627 0.1627 0.6619
Tm 0.8373 0.8373 0.3381
CELL_PARAMETERS angstrom
6.1171 -2.8550 0.0000
6.1171 2.8550 0.0000
-4.1057 0.0000 5.7893

# 10
! La12PmTm7 (GGA-PBE, optimized geometry); values from VASP
! E above lowest polymorph = 0.014 eV per atom
! electronic total energy = -4.5508 eV/atom
! formation energy = 20.1 kJ per mole of atoms
&SYSTEM
  ibrav = 0, nat = 20, ntyp = 3
/
ATOMIC_SPECIES
La 138.91 La.upf
Pm 145.00 Pm.upf
Tm 168.93 Tm.upf
ATOMIC_POSITIONS crystal
La 0.0000 0.4078 0.5922
La 0.0000 0.5922 0.4078
La 0.0697 0.0697 0.4244
La 0.0697 0.4244 0.0697
La 0.4078 0.0000 0.5922
La 0.4078 0.5922 0.0000
La 0.4244 0.0697 0.0697
La 0.5756 0.9303 0.9303
La 0.5922 0.0000 0.4078
La 0.5922 0.4078 0.0000
La 0.9303 0.5756 0.9303
La 0.9303 0.9303 0.5756
Pm 0.5000 0.5000 0.5000
Tm 0.0000 0.0000 0.0000
Tm 0.1381 0.3852 0.3852
Tm 0.3852 0.1381 0.3852
Tm 0.3852 0.3852 0.1381
Tm 0.6148 0.6148 0.8619
Tm 0.6148 0.8619 0.6148
Tm 0.8619 0.6148 0.6148
CELL_PARAMETERS angstrom
9.7704 5.6410 2.1189
-9.7704 5.6410 2.1189
0.0000 -11.2819 2.1189

# 11
! La12Pm7Tm (GGA-PBE, optimized geometry); values from VASP
! E above lowest polymorph = 0.000 eV per atom
! electronic total energy = -4.6715 eV/atom
! formation energy = 16.5 kJ per mole of atoms
&SYSTEM
  ibrav = 0, nat = 20, ntyp = 3
/
ATOMIC_SPECIES
La 138.91 La.upf
Pm 145.00 Pm.upf
Tm 168.93 Tm.upf
ATOMIC_POSITIONS crystal
La 0.0000 0.4075 0.5925
La 0.0000 0.5925 0.4075
La 0.0699 0.0699 0.4249
La 0.0699 0.4249 0.0699
La 0.4075 0.0000 0.5925
La 0.4075 0.5925 0.0000
La 0.4249 0.0699 0.0699
La 0.5751 0.9301 0.9301
La 0.5925 0.0000 0.4075
La 0.5925 0.4075 0.0000
La 0.9301 0.5751 0.9301
La 0.9301 0.9301 0.5751
Pm 0.0000 0.0000 0.0000
Pm 0.1345 0.3855 0.3855
Pm 0.3855 0.1345 0.3855
Pm 0.3855 0.3855 0.1345
Pm 0.6145 0.6145 0.8655
Pm 0.6145 0.8655 0.6145
Pm 0.8655 0.6145 0.6145
Tm 0.5000 0.5000 0.5000
CELL_PARAMETERS angstrom
9.8648 5.6955 2.1458
-9.8648 5.6955 2.1458
0.0000 -11.3909 2.1458

# 12
! LaPm2Tm (GGA-PBE, optimized geometry); values from VASP
! E above lowest polymorph = 0.007 eV per atom
! electronic total energy = -4.6984 eV/atom
! formation energy = 2.6 kJ per mole of atoms
&SYSTEM
  ibrav = 0, nat = 4, ntyp = 3
/
ATOMIC_SPECIES
La 138.91 La.upf
Pm 145.00 Pm.upf
Tm 168.93 Tm.upf
ATOMIC_POSITIONS crystal
La 0.0000 0.0000 0.0000
Pm 0.5000 0.5000 0.2582
Pm 0.5000 0.5000 0.7418
Tm 0.0000 0.0000 0.5000
CELL_PARAMETERS angstrom
3.6367 0.0000 0.0000
0.0000 3.6367 0.0000
0.0000 0.0000 10.2956